No. 1
DFT (PBE) results for a relaxed structure of Ce2Mg2FeGe4.

## Properties
ΔE_f, eV per atom: -0.40

abc: 6.496 6.496 8.561
angles: 90.00 90.00 90.00
Space group I4/mmm (No. 139)
Inequivalent atoms, fractional coordinates:
Ce (0.000, 0.500, 0.250) (multiplicity 4)
Mg (0.000, 0.000, 0.201) (multiplicity 4)
Fe (0.000, 0.000, 0.500) (multiplicity 2)
Ge (0.241, 0.241, 0.000) (multiplicity 8)

No. 2
DFT (PBE) results for a relaxed structure of Pr4PuTh3Se8.

## Properties
Formation energy without anion corrections, kJ/mol of formula units: -2609

abc: 8.4146 8.4146 20.8914
angles: 90.00 90.00 120.00
Space group R-3m (No. 166, hexagonal axes)
Inequivalent atoms, fractional coordinates:
Pr (0.0000, 0.0000, 0.0000) (multiplicity 3)
Pr (0.0000, 0.5000, 0.0000) (multiplicity 9)
Pu (0.0000, 0.0000, 0.5000) (multiplicity 3)
Th (0.0000, 0.5000, 0.5000) (multiplicity 9)
Se (0.0000, 0.0000, 0.2493) (multiplicity 6)
Se (0.0030, 0.5015, 0.2482) (multiplicity 18)

No. 3
DFT (PBE) results for a relaxed structure of AgOs3W.

## Properties
Energy relative to the lowest polymorph listed for this composition, eV/atom: 0.000
ΔE_f, eV per atom: 2.25

abc: 4.735 4.735 4.735
angles: 90.00 90.00 90.00
Space group Pm-3m (No. 221)
Inequivalent atoms, fractional coordinates:
Ag (0.000, 0.000, 0.000) (multiplicity 1)
Os (0.000, 0.500, 0.500) (multiplicity 3)
W (0.500, 0.500, 0.500) (multiplicity 1)

No. 4
DFT (PBE) results for a relaxed structure of HoSc2O4.

## Properties
Formation energy without anion corrections, kJ/mol of formula units: -2274
Energy relative to the lowest polymorph listed for this composition, eV/atom: 0.000

abc: 3.135 10.391 10.343
angles: 90.00 90.00 90.00
Space group Cmcm (No. 63)
Inequivalent atoms, fractional coordinates:
Ho (0.000, 0.122, 0.250) (multiplicity 4)
Sc (0.000, 0.372, 0.069) (multiplicity 8)
O (0.000, 0.000, 0.000) (multiplicity 4)
O (0.000, 0.275, 0.616) (multiplicity 8)
O (0.000, 0.464, 0.250) (multiplicity 4)

No. 5
DFT (PBE) results for a relaxed structure of YZn3Tc.

## Properties
Energy relative to the lowest polymorph listed for this composition, eV/atom: 0.000
ΔE_f, eV per atom: 0.21

abc: 4.749 4.749 4.749
angles: 90.00 90.00 90.00
Space group Pm-3m (No. 221)
Inequivalent atoms, fractional coordinates:
Y (0.000, 0.000, 0.000) (multiplicity 1)
Zn (0.000, 0.500, 0.500) (multiplicity 3)
Tc (0.500, 0.500, 0.500) (multiplicity 1)

No. 6
DFT (PBE) results for a relaxed structure of Y3HoTh2.

## Properties
Energy relative to the lowest polymorph listed for this composition, eV/atom: 0.000
ΔE_f, eV per atom: 0.03

abc: 10.066 3.580 10.674
angles: 90.00 90.03 90.00
Space group P2_1/m (No. 11)
Inequivalent atoms, fractional coordinates:
Y (0.123, 0.250, 0.250) (multiplicity 2)
Y (0.134, 0.250, 0.918) (multiplicity 2)
Y (0.369, 0.750, 0.418) (multiplicity 2)
Ho (0.376, 0.750, 0.750) (multiplicity 2)
Th (0.123, 0.250, 0.583) (multiplicity 2)
Th (0.380, 0.750, 0.082) (multiplicity 2)

No. 7
DFT (PBE) results for a relaxed structure of Tb2YMg6.

## Properties
ΔE_f, eV per atom: -0.08

abc: 9.0717 9.0717 3.3030
angles: 90.00 90.00 120.00
Space group P6/mmm (No. 191)
Inequivalent atoms, fractional coordinates:
Tb (0.3333, 0.6667, 0.0000) (multiplicity 2)
Y (0.0000, 0.0000, 0.0000) (multiplicity 1)
Mg (0.0000, 0.3328, 0.5000) (multiplicity 6)

No. 8
DFT (PBE) results for a relaxed structure of La3Pm5Y3.

## Properties
ΔE_f, eV per atom: 0.72

abc: 9.6727 9.6727 5.6942
angles: 90.00 90.00 120.00
Space group P-62m (No. 189)
Inequivalent atoms, fractional coordinates:
La (0.0000, 0.6069, 0.0000) (multiplicity 3)
Pm (0.0000, 0.3843, 0.5000) (multiplicity 3)
Pm (0.3333, 0.6667, 0.5000) (multiplicity 2)
Y (0.0000, 0.7586, 0.5000) (multiplicity 3)

No. 9
DFT (PBE) results for a relaxed structure of Be3Mo.

## Properties
Energy relative to the lowest polymorph listed for this composition, eV/atom: 0.330
ΔE_f, eV per atom: 0.10

abc: 7.8615 7.8615 2.4278
angles: 90.00 90.00 120.00
Space group R-3m (No. 166, hexagonal axes)
Inequivalent atoms, fractional coordinates:
Be (0.0000, 0.5000, 0.0000) (multiplicity 9)
Mo (0.0000, 0.0000, 0.0000) (multiplicity 3)

No. 10
DFT (PBE) results for a relaxed structure of ThNi12B4.

## Properties
ΔE_f, eV per atom: -0.12

abc: 7.311 7.311 7.311
angles: 90.00 90.00 90.00
Space group Im-3 (No. 204)
Inequivalent atoms, fractional coordinates:
Th (0.000, 0.000, 0.000) (multiplicity 2)
Ni (0.000, 0.187, 0.334) (multiplicity 24)
B (0.250, 0.250, 0.250) (multiplicity 8)

No. 11
DFT (PBE) results for a relaxed structure of Sm4In21Pd10.

## Properties
ΔE_f, eV per atom: -0.53

abc: 23.339 4.562 17.218
angles: 90.00 123.92 90.00
Space group C2/m (No. 12)
Inequivalent atoms, fractional coordinates:
Sm (0.123, 0.000, 0.331) (multiplicity 4)
Sm (0.230, 0.000, 0.827) (multiplicity 4)
In (0.000, 0.500, 0.500) (multiplicity 2)
In (0.010, 0.000, 0.094) (multiplicity 4)
In (0.044, 0.500, 0.368) (multiplicity 4)
In (0.064, 0.000, 0.798) (multiplicity 4)
In (0.102, 0.500, 0.999) (multiplicity 4)
In (0.116, 0.500, 0.706) (multiplicity 4)
In (0.117, 0.000, 0.553) (multiplicity 4)
In (0.130, 0.500, 0.200) (multiplicity 4)
In (0.201, 0.500, 0.500) (multiplicity 4)
In (0.202, 0.000, 0.006) (multiplicity 4)
In (0.247, 0.500, 0.705) (multiplicity 4)
Pd (0.005, 0.500, 0.186) (multiplicity 4)
Pd (0.024, 0.000, 0.611) (multiplicity 4)
Pd (0.139, 0.000, 0.110) (multiplicity 4)
Pd (0.154, 0.500, 0.888) (multiplicity 4)
Pd (0.249, 0.500, 0.384) (multiplicity 4)

No. 12
DFT (PBE) results for a relaxed structure of Sm2TmSn2.

## Properties
Energy relative to the lowest polymorph listed for this composition, eV/atom: 0.078
ΔE_f, eV per atom: -0.63

abc: 5.043 18.162 6.520
angles: 90.00 90.00 90.00
Space group Cmc2_1 (No. 36)
Inequivalent atoms, fractional coordinates:
Sm (0.000, 0.000, 0.000) (multiplicity 4)
Sm (0.000, 0.193, 0.251) (multiplicity 4)
Tm (0.000, 0.397, 0.250) (multiplicity 4)
Sn (0.000, 0.189, 0.751) (multiplicity 4)
Sn (0.000, 0.424, 0.750) (multiplicity 4)

No. 13
DFT (PBE) results for a relaxed structure of Er4Hg2Pt.

## Properties
Energy relative to the lowest polymorph listed for this composition, eV/atom: 0.003
ΔE_f, eV per atom: -0.55

abc: 7.854 12.548 4.024
angles: 90.00 90.00 90.00
Space group Pbam (No. 55)
Inequivalent atoms, fractional coordinates:
Er (0.128, 0.203, 0.000) (multiplicity 4)
Er (0.231, 0.947, 0.500) (multiplicity 4)
Hg (0.084, 0.669, 0.500) (multiplicity 4)
Pt (0.000, 0.000, 0.000) (multiplicity 2)

No. 14
DFT (PBE) results for a relaxed structure of CaAuS2.

## Properties
Formation energy without anion corrections, kJ/mol of formula units: -215
Energy relative to the lowest polymorph listed for this composition, eV/atom: 0.263

abc: 6.788 6.788 6.788
angles: 90.00 90.00 90.00
Space group Fm-3m (No. 225)
Inequivalent atoms, fractional coordinates:
Ca (0.000, 0.000, 0.000) (multiplicity 4)
Au (0.000, 0.000, 0.500) (multiplicity 4)
S (0.250, 0.250, 0.250) (multiplicity 8)

No. 15
DFT (PBE) results for a relaxed structure of NdSi2Ni2Ir.

## Properties
Formation energy without anion corrections, kJ/mol of formula units: -62

abc: 4.537 4.537 5.488
angles: 90.00 90.00 90.00
Space group P4/mmm (No. 123)
Inequivalent atoms, fractional coordinates:
Nd (0.000, 0.000, 0.000) (multiplicity 1)
Si (0.000, 0.500, 0.500) (multiplicity 2)
Ni (0.500, 0.500, 0.262) (multiplicity 2)
Ir (0.000, 0.000, 0.500) (multiplicity 1)

No. 16
DFT (PBE) results for a relaxed structure of NbSnN2F.

## Properties
Formation energy without anion corrections, kJ/mol of formula units: -272
Energy relative to the lowest polymorph listed for this composition, eV/atom: 0.000

abc: 4.160 4.160 4.135
angles: 90.00 90.00 90.00
Space group P4/mmm (No. 123)
Inequivalent atoms, fractional coordinates:
Nb (0.000, 0.000, 0.000) (multiplicity 1)
Sn (0.500, 0.500, 0.500) (multiplicity 1)
N (0.000, 0.500, 0.000) (multiplicity 2)
F (0.000, 0.000, 0.500) (multiplicity 1)

No. 17
DFT (PBE) results for a relaxed structure of BaPmSnPd.

## Properties
ΔE_f, eV per atom: -0.47

abc: 7.822 7.822 7.822
angles: 90.00 90.00 90.00
Space group F-43m (No. 216)
Inequivalent atoms, fractional coordinates:
Ba (0.000, 0.000, 0.000) (multiplicity 4)
Pm (0.000, 0.000, 0.500) (multiplicity 4)
Sn (0.250, 0.250, 0.750) (multiplicity 4)
Pd (0.250, 0.250, 0.250) (multiplicity 4)

No. 18
DFT (PBE) results for a relaxed structure of Tb2Dy5Tl4.

## Properties
ΔE_f, eV per atom: 0.34

abc: 3.471 8.613 28.800
angles: 90.00 90.00 90.00
Space group Immm (No. 71)
Inequivalent atoms, fractional coordinates:
Tb (0.000, 0.000, 0.097) (multiplicity 4)
Dy (0.000, 0.198, 0.201) (multiplicity 8)
Dy (0.000, 0.500, 0.500) (multiplicity 2)
Tl (0.000, 0.000, 0.303) (multiplicity 4)
Tl (0.000, 0.319, 0.000) (multiplicity 4)

No. 19
DFT (PBE) results for a relaxed structure of Ce2PuIn3.

## Properties
ΔE_f, eV per atom: 0.07

abc: 4.199 4.199 8.911
angles: 90.00 90.00 90.00
Space group P4/mmm (No. 123)
Inequivalent atoms, fractional coordinates:
Ce (0.000, 0.000, 0.211) (multiplicity 2)
Pu (0.000, 0.000, 0.500) (multiplicity 1)
In (0.500, 0.500, 0.000) (multiplicity 1)
In (0.500, 0.500, 0.343) (multiplicity 2)

No. 20
DFT (PBE) results for a relaxed structure of MgSi2Pt4.

## Properties
Formation energy without anion corrections, kJ/mol of formula units: -486

abc: 16.557 4.059 6.521
angles: 90.00 90.00 90.00
Space group Pnma (No. 62)
Inequivalent atoms, fractional coordinates:
Mg (0.144, 0.250, 0.061) (multiplicity 4)
Si (0.035, 0.750, 0.242) (multiplicity 4)
Si (0.201, 0.250, 0.621) (multiplicity 4)
Pt (0.043, 0.750, 0.877) (multiplicity 4)
Pt (0.063, 0.250, 0.485) (multiplicity 4)
Pt (0.172, 0.750, 0.376) (multiplicity 4)
Pt (0.214, 0.750, 0.820) (multiplicity 4)

| no. | volume (Å³ per atom) | total DFT energy (no corrections) (eV per atom) |
| --- | --- | --- |
| 1 | 20.073 | -5.07 |
| 2 | 26.686 | -6.91 |
| 3 | 21.236 | -7.65 |
| 4 | 12.034 | -8.66 |
| 5 | 21.426 | -3.92 |
| 6 | 32.055 | -6.44 |
| 7 | 26.157 | -2.89 |
| 8 | 41.943 | -4.55 |
| 9 | 10.829 | -5.41 |
| 10 | 11.495 | -6.21 |
| 11 | 21.734 | -4.19 |
| 12 | 29.859 | -5.01 |
| 13 | 28.328 | -4.11 |
| 14 | 19.550 | -3.94 |
| 15 | 18.825 | -6.11 |
| 16 | 14.314 | -7.08 |
| 17 | 29.913 | -4.44 |
| 18 | 39.132 | -3.46 |
| 19 | 26.181 | -5.66 |
| 20 | 15.653 | -5.95 |